Record 1
First-principles (PBE) data for an optimized crystal structure of Ba4ErHg5, as listed in the Alexandria database.

Values from the calculation:
- final energy (eV for the cell shown) = -18.60
- symmetry = P4/mmm

Structure (POSCAR):
```
Ba4ErHg5
1.0
4.0422 0.0000 0.0000
0.0000 4.0422 0.0000
0.0000 0.0000 20.9009
Ba Er Hg
4 1 5
Direct
0.0000 0.0000 0.6044 Ba
0.0000 0.0000 0.3956 Ba
0.0000 0.0000 0.1853 Ba
0.0000 0.0000 0.8147 Ba
0.0000 0.0000 0.0000 Er
0.5000 0.5000 0.2918 Hg
0.5000 0.5000 0.9234 Hg
0.5000 0.5000 0.7082 Hg
0.5000 0.5000 0.5000 Hg
0.5000 0.5000 0.0766 Hg
```


Record 2
First-principles (PBE) data for an optimized crystal structure of La6TbMg5, as listed in the Alexandria database.

Values from the calculation:
- final energy (eV for the cell shown) = -42.98
- symmetry = P2/m

Structure (POSCAR):
```
La6TbMg5
1.0
-3.9971 1.7463 -3.5775
-5.3879 -0.4210 5.8142
3.6416 7.2056 3.8963
La Mg Tb
6 5 1
Direct
0.1682 0.2534 0.3395 La
0.1682 0.7466 0.3395 La
0.8318 0.2534 0.6605 La
0.5000 0.2615 0.0000 La
0.8318 0.7466 0.6605 La
0.5000 0.7385 0.0000 La
0.6653 0.5000 0.3347 Mg
0.3347 0.5000 0.6653 Mg
0.3400 0.0000 0.6768 Mg
0.0000 0.5000 0.0000 Mg
0.6600 0.0000 0.3232 Mg
0.0000 0.0000 0.0000 Tb
```


Record 3
First-principles (PBE) data for an optimized crystal structure of Rb2TlOs3O12, as listed in the Alexandria database.

Values from the calculation:
- symmetry = R-3m
- formation energy (no corrections) (meV/atom) = -1118

Structure (POSCAR):
```
Rb2TlOs3O12
1.0
7.4696 0.0987 0.0700
3.7747 6.4464 0.0700
3.7747 2.1972 6.0608
O Os Rb Tl
12 3 2 1
Direct
0.1292 0.5244 0.1292 O
0.4756 0.8708 0.8708 O
0.2742 0.2742 0.8918 O
0.7258 0.7258 0.1082 O
0.1292 0.1292 0.5244 O
0.8918 0.2742 0.2742 O
0.1082 0.7258 0.7258 O
0.8708 0.4756 0.8708 O
0.5244 0.1292 0.1292 O
0.2742 0.8918 0.2742 O
0.8708 0.8708 0.4756 O
0.7258 0.1082 0.7258 O
0.5000 0.0000 0.0000 Os
0.0000 0.5000 0.0000 Os
0.0000 0.0000 0.5000 Os
0.3901 0.3901 0.3901 Rb
0.6099 0.6099 0.6099 Rb
0.0000 0.0000 0.0000 Tl
```


Record 4
First-principles (PBE) data for an optimized crystal structure of PrEr7Tm4, as listed in the Alexandria database.

Values from the calculation:
- final energy (eV for the cell shown) = -54.61
- symmetry = P-1

Structure (POSCAR):
```
PrEr7Tm4
1.0
-7.0055 0.8167 -0.7687
-7.6501 -5.2670 -1.2694
-1.2028 -2.6328 8.2329
Er Tm Pr
7 4 1
Direct
0.9728 0.2792 0.6641 Er
0.2486 0.4998 0.9999 Er
0.7514 0.5002 0.0001 Er
0.7770 0.2227 0.3352 Er
0.0272 0.7208 0.3359 Er
0.5000 0.0000 0.0000 Er
0.2230 0.7773 0.6648 Er
0.2787 0.2211 0.3353 Tm
0.5305 0.7210 0.3357 Tm
0.7213 0.7789 0.6647 Tm
0.4695 0.2790 0.6643 Tm
0.0000 0.0000 0.0000 Pr
```


Record 5
First-principles (PBE) data for an optimized crystal structure of LiNd2Ge3Rh4, as listed in the Alexandria database.

Values from the calculation:
- final energy (eV for the cell shown) = -62.93
- symmetry = P-4m2

Structure (POSCAR):
```
LiNd2Ge3Rh4
1.0
4.1631 0.0000 0.0000
0.0000 4.1631 0.0000
0.0000 0.0000 10.4894
Rh Li Nd Ge
4 1 2 3
Direct
0.0000 0.0000 0.0000 Rh
0.5000 0.5000 0.0000 Rh
0.5000 0.0000 0.6344 Rh
0.0000 0.5000 0.3656 Rh
0.5000 0.5000 0.5000 Li
0.5000 0.0000 0.2522 Nd
0.0000 0.5000 0.7478 Nd
0.0000 0.0000 0.5000 Ge
0.5000 0.0000 0.8710 Ge
0.0000 0.5000 0.1290 Ge
```


Record 6
First-principles (PBE) data for an optimized crystal structure of MnCoTe3, as listed in the Alexandria database.

Values from the calculation:
- symmetry = C2/c
- formation energy (no corrections) (meV/atom) = -26

Structure (POSCAR):
```
MnCoTe3
1.0
6.9687 -0.0072 0.5825
0.6747 8.4330 0.8401
0.0260 -0.4297 8.4906
Te Mn Co
12 4 4
Direct
0.0931 0.6360 0.0987 Te
0.7862 0.6886 0.5637 Te
0.4069 0.9013 0.3640 Te
0.7138 0.4363 0.3114 Te
0.5931 0.0987 0.6360 Te
0.9069 0.3640 0.9013 Te
0.8828 0.0656 0.2197 Te
0.2138 0.3114 0.4363 Te
0.6172 0.7803 0.9344 Te
0.1172 0.9344 0.7803 Te
0.2862 0.5637 0.6886 Te
0.3828 0.2197 0.0656 Te
0.2500 0.9244 0.0756 Mn
0.2500 0.2402 0.7598 Mn
0.7500 0.0756 0.9244 Mn
0.7500 0.7598 0.2402 Mn
0.5409 0.1808 0.3423 Co
0.0409 0.3423 0.1808 Co
0.4591 0.8192 0.6577 Co
0.9591 0.6577 0.8192 Co
```


Record 7
First-principles (PBE) data for an optimized crystal structure of NbCdS2Cl, as listed in the Alexandria database.

Values from the calculation:
- symmetry = P4/mmm
- formation energy (no corrections) (meV/atom) = -449

Structure (POSCAR):
```
NbCdS2Cl
1.0
4.8452 0.0000 0.0000
0.0000 4.8452 0.0000
0.0000 0.0000 4.9430
S Cd Cl Nb
2 1 1 1
Direct
0.5000 0.0000 0.0000 S
0.0000 0.5000 0.0000 S
0.5000 0.5000 0.5000 Cd
0.0000 0.0000 0.5000 Cl
0.0000 0.0000 0.0000 Nb
```


Record 8
First-principles (PBE) data for an optimized crystal structure of CdSnAu6, as listed in the Alexandria database.

Values from the calculation:
- final energy (eV for the cell shown) = -25.10
- symmetry = C2/m

Structure (POSCAR):
```
CdSnAu6
1.0
4.8920 0.6157 -1.7042
-1.3175 4.7504 -1.7065
-0.3426 -0.5107 6.8451
Au Sn Cd
6 1 1
Direct
0.3709 0.8765 0.7468 Au
0.6291 0.1235 0.2532 Au
0.8765 0.3709 0.7468 Au
0.2512 0.2512 0.4936 Au
0.1235 0.6291 0.2532 Au
0.7488 0.7488 0.5064 Au
0.5000 0.5000 0.0000 Sn
0.0000 0.0000 0.0000 Cd
```


Record 9
First-principles (PBE) data for an optimized crystal structure of Th4AsSe2S, as listed in the Alexandria database.

Values from the calculation:
- symmetry = P2/m
- formation energy (no corrections) (meV/atom) = -1590

Structure (POSCAR):
```
Th4AsSe2S
1.0
4.2124 0.0000 0.0000
0.0000 7.2611 -0.1364
0.0000 2.5614 6.7080
Th S As Se
4 1 1 2
Direct
0.0000 0.7355 0.7623 Th
0.5000 0.2594 0.7548 Th
0.0000 0.2645 0.2377 Th
0.5000 0.7406 0.2452 Th
0.5000 0.5000 0.0000 S
0.0000 0.5000 0.5000 As
0.5000 0.0000 0.5000 Se
0.0000 0.0000 0.0000 Se
```


Record 10
First-principles (PBE) data for an optimized crystal structure of Y3ErTm7, as listed in the Alexandria database.

Values from the calculation:
- final energy (eV for the cell shown) = -53.38
- symmetry = P2/m

Structure (POSCAR):
```
Y3ErTm7
1.0
-7.8408 -3.8147 1.2296
6.5172 -5.1575 5.3702
1.8787 4.6335 2.1737
Er Tm Y
1 7 3
Direct
0.5000 0.5000 0.5000 Er
0.6420 0.2920 0.1421 Tm
0.8197 0.6403 0.3198 Tm
0.9077 0.8302 0.9078 Tm
0.1803 0.3597 0.6802 Tm
0.0923 0.1698 0.0922 Tm
0.3580 0.7080 0.8579 Tm
0.5000 0.0000 0.5000 Tm
0.2188 0.9964 0.7189 Y
0.0000 0.5000 0.0000 Y
0.7812 0.0036 0.2811 Y
```


Record 11
First-principles (PBE) data for an optimized crystal structure of CsPPt, as listed in the Alexandria database.

Values from the calculation:
- final energy (eV for the cell shown) = -28.04
- symmetry = C2/m

Structure (POSCAR):
```
CsPPt
1.0
-1.2059 4.0741 0.1009
-7.1515 0.1103 -0.3994
-3.0328 1.1550 6.5801
Cs Pt P
2 2 2
Direct
0.5204 0.6690 0.1481 Cs
0.6250 0.0605 0.5475 Cs
0.3025 0.2799 0.9737 Pt
0.8434 0.4495 0.7220 Pt
0.2925 0.5851 0.6881 P
0.8533 0.1443 0.0075 P
```


Record 12
First-principles (PBE) data for an optimized crystal structure of Pa2Si4TcIr3, as listed in the Alexandria database.

Values from the calculation:
- symmetry = P-4m2
- formation energy (no corrections) (meV/atom) = -916

Structure (POSCAR):
```
Pa2Si4TcIr3
1.0
4.1927 0.0000 0.0000
0.0000 4.1927 0.0000
0.0000 0.0000 9.6353
Si Pa Ir Tc
4 2 3 1
Direct
0.5000 0.5000 0.0000 Si
0.0000 0.0000 0.0000 Si
0.5000 0.0000 0.6281 Si
0.0000 0.5000 0.3719 Si
0.0000 0.5000 0.7450 Pa
0.5000 0.0000 0.2550 Pa
0.5000 0.0000 0.8741 Ir
0.0000 0.0000 0.5000 Ir
0.0000 0.5000 0.1259 Ir
0.5000 0.5000 0.5000 Tc
```


Record 13
First-principles (PBE) data for an optimized crystal structure of LiZn2Re, as listed in the Alexandria database.

Values from the calculation:
- final energy (eV for the cell shown) = -16.52
- symmetry = P4/mmm

Structure (POSCAR):
```
LiZn2Re
1.0
-0.4710 1.9686 -1.6843
-0.7696 -1.7409 -1.8196
-7.8441 0.5289 2.8115
Re Zn Li
1 2 1
Direct
0.5000 0.5000 0.7500 Re
0.0000 0.0000 0.4956 Zn
0.0000 0.0000 0.0044 Zn
0.5000 0.5000 0.2500 Li
```


Record 14
First-principles (PBE) data for an optimized crystal structure of LiIn2GeW, as listed in the Alexandria database.

Values from the calculation:
- final energy (eV for the cell shown) = -19.08
- symmetry = P4/mmm

Structure (POSCAR):
```
LiIn2GeW
1.0
5.2618 0.0000 0.0000
0.0000 4.9958 0.0000
0.0000 0.0000 5.2618
In Li W Ge
2 1 1 1
Direct
0.5000 0.0000 0.0000 In
0.0000 0.0000 0.5000 In
0.0000 0.5000 0.0000 Li
0.0000 0.0000 0.0000 W
0.5000 0.5000 0.5000 Ge
```


Record 15
First-principles (PBE) data for an optimized crystal structure of Fe5Pt6Rh, as listed in the Alexandria database.

Values from the calculation:
- final energy (eV for the cell shown) = -88.53
- symmetry = Cmmm

Structure (POSCAR):
```
Fe5Pt6Rh
1.0
3.8620 0.0000 0.0127
1.9310 5.8191 0.0063
-0.0250 0.0000 7.6218
Fe Rh Pt
5 1 6
Direct
0.0000 0.0000 0.5000 Fe
0.6692 0.6616 0.5000 Fe
0.6636 0.6729 0.0000 Fe
0.3364 0.3271 0.0000 Fe
0.3308 0.3384 0.5000 Fe
0.0000 0.0000 0.0000 Rh
0.8326 0.3349 0.2518 Pt
0.1674 0.6651 0.7482 Pt
0.5000 0.0000 0.7409 Pt
0.8326 0.3349 0.7482 Pt
0.1674 0.6651 0.2518 Pt
0.5000 0.0000 0.2591 Pt
```


Record 16
First-principles (PBE) data for an optimized crystal structure of AgHgW2, as listed in the Alexandria database.

Values from the calculation:
- final energy (eV for the cell shown) = -26.18
- symmetry = C2/m

Structure (POSCAR):
```
AgHgW2
1.0
-4.4661 0.5086 -2.7483
-2.8046 -1.4972 -4.2013
-2.5615 -3.4858 1.8827
W Ag Hg
2 1 1
Direct
0.9999 0.9999 0.9970 W
0.5001 0.5001 0.5030 W
0.7500 0.7500 0.7500 Ag
0.2500 0.2500 0.2500 Hg
```


Record 17
First-principles (PBE) data for an optimized crystal structure of Pm2MgAgO5, as listed in the Alexandria database.

Values from the calculation:
- symmetry = P4/mbm
- formation energy (no corrections) (meV/atom) = -2199

Structure (POSCAR):
```
Pm2MgAgO5
1.0
-5.3196 1.2223 2.1583
-2.4562 -5.4800 -2.9507
1.4006 -3.5775 5.4781
O Ag Pm Mg
10 2 4 2
Direct
0.7482 0.1393 0.6393 O
0.7482 0.6393 0.8607 O
0.2518 0.1393 0.6393 O
0.2518 0.8607 0.3607 O
0.5000 0.5000 0.5000 O
0.7482 0.8607 0.3607 O
0.5000 0.0000 0.0000 O
0.2518 0.3607 0.1393 O
0.7482 0.3607 0.1393 O
0.2518 0.6393 0.8607 O
0.0000 0.0000 0.0000 Ag
0.0000 0.5000 0.5000 Ag
0.5000 0.6730 0.1730 Pm
0.5000 0.1730 0.3270 Pm
0.5000 0.8270 0.6730 Pm
0.5000 0.3270 0.8270 Pm
0.0000 0.5000 0.0000 Mg
0.0000 0.0000 0.5000 Mg
```


Record 18
First-principles (PBE) data for an optimized crystal structure of Th2CdIn, as listed in the Alexandria database.

Values from the calculation:
- final energy (eV for the cell shown) = -19.06
- symmetry = P4/mmm

Structure (POSCAR):
```
Th2CdIn
1.0
4.1772 0.0000 0.0000
0.0000 4.1772 0.0000
0.0000 0.0000 6.5880
Th In Cd
2 1 1
Direct
0.0000 0.0000 0.2459 Th
0.0000 0.0000 0.7541 Th
0.5000 0.5000 0.0000 In
0.5000 0.5000 0.5000 Cd
```


Record 19
First-principles (PBE) data for an optimized crystal structure of MgSiTe3, as listed in the Alexandria database.

Values from the calculation:
- symmetry = Pm-3m
- formation energy (no corrections) (meV/atom) = 565

Structure (POSCAR):
```
MgSiTe3
1.0
-5.3836 0.0274 -0.3005
-0.1692 -4.7206 2.6003
-0.2498 2.6057 4.7140
Si Te Mg
1 3 1
Direct
0.5000 0.5000 0.5000 Si
0.5000 0.0000 0.0000 Te
0.0000 0.0000 0.5000 Te
0.0000 0.5000 0.0000 Te
0.0000 0.0000 0.0000 Mg
```


Record 20
First-principles (PBE) data for an optimized crystal structure of Na2CdTeSe4, as listed in the Alexandria database.

Values from the calculation:
- symmetry = Imma
- formation energy (no corrections) (meV/atom) = -571

Structure (POSCAR):
```
Na2CdTeSe4
1.0
-1.6272 6.1117 5.4325
-5.7784 2.9815 -5.2186
-0.2794 -8.0026 2.4608
Se Na Te Cd
8 4 2 2
Direct
0.7504 0.7496 0.5153 Se
0.2496 0.2504 0.0153 Se
0.7548 0.2754 0.5153 Se
0.2246 0.7452 0.9847 Se
0.2496 0.2504 0.4847 Se
0.7755 0.2548 0.0153 Se
0.7504 0.7496 0.9847 Se
0.2452 0.7245 0.4847 Se
0.5000 0.0000 0.0000 Na
0.0000 0.0000 0.5000 Na
0.5000 0.0000 0.5000 Na
0.5000 0.5000 0.0000 Na
0.0000 0.0000 0.0000 Te
0.5000 0.5000 0.5000 Te
0.0000 0.5000 0.5000 Cd
0.0000 0.5000 0.0000 Cd
```